No. 1
The following is a DFT calculation (PBE) of a relaxed structure of YEr2Pd4.

calculated formation energy	-0.607	eV/atom
uncorrected energy	-5.80	eV per atom

abc: 6.9386 6.9386 6.4919
angles: 90.00 90.00 90.00
Last column: nearest neighbours and their distance in Å.
Space group I4/mmm (No. 139)
One atom of each set of equivalent atoms:
Y (0.0000, 0.0000, 0.0000)  8 Pd 2.94
Er (0.0000, 0.5000, 0.0000)  8 Pd 2.94, 2 Er 3.25
Pd (0.2500, 0.2500, 0.2500)  2 Y 2.94, 4 Er 2.94, 2 Pd 3.25

No. 2
The following is a DFT calculation (PBE) of a relaxed structure of Y3Er3Pd4.

calculated formation energy	-0.743	eV/atom
uncorrected energy	-6.13	eV per atom

abc: 4.0173 10.9542 10.8820
angles: 90.00 90.00 90.00
Last column: nearest neighbours and their distance in Å.
Space group Amm2 (No. 38)
One atom of each set of equivalent atoms:
Y (0.0000, 0.0000, 0.0000)  6 Pd 2.98-3.08
Y (0.0000, 0.1647, 0.3360)  6 Pd 2.99-3.09
Er (0.0000, 0.0000, 0.6707)  6 Pd 2.94-3.05
Er (0.5000, 0.2502, 0.0857)  4 Pd 2.98-3.04
Pd (0.5000, 0.0000, 0.2025)  1 Pd 2.95, 6 Y 2.98-3.07, 2 Er 3.02
Pd (0.5000, 0.0000, 0.4733)  4 Er 2.94-3.00, 1 Pd 2.95, 4 Y 3.09
Pd (0.5000, 0.1330, 0.8329)  1 Pd 2.91, 4 Er 2.98-3.05, 4 Y 2.99-3.08

No. 3
The following is a DFT calculation (PBE) of a relaxed structure of Y2ErPd.

calculated formation energy	-0.396	eV/atom
uncorrected energy	-6.07	eV per atom
distance to the lowest polymorph of the same formula	7.64	kJ/mol of atoms

abc: 3.5810 3.5810 8.3899
angles: 90.00 90.00 90.00
Last column: nearest neighbours and their distance in Å.
Space group P4/mmm (No. 123)
One atom of each set of equivalent atoms:
Y (0.0000, 0.0000, 0.2013)  4 Pd 3.04, 1 Y 3.38
Er (0.5000, 0.5000, 0.5000)  8 Y 3.56, 4 Er 3.58
Pd (0.5000, 0.5000, 0.0000)  8 Y 3.04

No. 4
The following is a DFT calculation (PBE) of a relaxed structure of Y3Er2Pd2.

calculated formation energy	-0.402	eV/atom
uncorrected energy	-5.96	eV per atom
distance to the lowest polymorph of the same formula	11.28	kJ/mol of atoms

abc: 3.7114 6.5840 8.3259
angles: 85.37 77.17 73.70
Last column: nearest neighbours and their distance in Å.
Space group P-1 (No. 2)
One atom of each set of equivalent atoms:
Y (0.0000, 0.0000, 0.0000)  4 Pd 2.97-2.98
Y (0.1558, 0.3965, 0.2919)  3 Pd 2.98-2.99
Er (0.3887, 0.8500, 0.3729)  1 Pd 2.78
Pd (0.3580, 0.3576, 0.9259)  1 Er 2.78, 2 Pd 2.87, 5 Y 2.97-2.99